# SrBr2Cl (meta-GGA SCAN, PBEsol geometry)
data_SrBr2Cl
_chemical_formula_sum 'Sr4 Br8 Cl4'
_symmetry_space_group_name_H-M 'F -4 3 m'
_symmetry_Int_Tables_number 216
_symmetry_space_group_name_Hall 'F -4 2 3'
_cell_length_a 7.494
_cell_length_b 7.494
_cell_length_c 7.494
_cell_angle_alpha 90.00
_cell_angle_beta 90.00
_cell_angle_gamma 90.00
loop_
_atom_site_label
_atom_site_type_symbol
_atom_site_fract_x
_atom_site_fract_y
_atom_site_fract_z
Sr1 Sr 0.000 0.000 0.000
Br1 Br 0.000 0.000 0.500
Br2 Br 0.250 0.250 0.750
Cl1 Cl 0.250 0.250 0.250
# - volume (Å³/f.u.) = 105.2
# - size of the total moment (μB/cell) = 4.1
# - ΔE to the lowest computed polymorph (eV per atom) = 0.1654
# - formation energy from raw total energies (eV/atom) = -1.51